Computed, not measured: a geometry-optimized ZrScGaPt structure at the GGA-PBE level of DFT.

a = 6.7077 Å, b = 6.7077 Å, c = 6.7077 Å
α = 90.00°, β = 90.00°, γ = 90.00°
Space group F-43m (No. 216)
One atom of each set of equivalent atoms:
Zr 0.0000 0.0000 0.0000 x4
Sc 0.0000 0.0000 0.5000 x4
Ga 0.2500 0.2500 0.2500 x4
Pt 0.2500 0.2500 0.7500 x4

**Total magnetic moment**: 0.00 μB per cell
**Relative energy among the computed polymorphs**: 0.1106 eV/atom